A plane-wave DFT calculation with PBE was carried out for an optimized crystal structure of PrSmTe.

Cell lengths 4.1548, 4.1548, 42.3161 Å; angles 90.00, 90.00, 120.00 degrees
Space group R-3m (No. 166, hexagonal axes)
Asymmetric unit:
Pr 0.0000 0.0000 0.1311
Sm 0.0000 0.0000 0.2988
Te 0.0000 0.0000 0.4152

Properties
The calculation puts the uncorrected formation energy at -18.04 kcal/mol of atoms. As for the energy: -5.00 eV per atom. Its density of states at the Fermi level is 22.2 states/eV/cell. Its magnetic moment is 0.25 μB/atom. The energy above the most stable polymorph in this dataset is 0.251 eV per formula unit. The density is 6.60 g/cm³.

***

A plane-wave DFT calculation with PBE was carried out for an optimized crystal structure of Dy3Ho12Er.

Cell lengths 4.977, 4.977, 19.890 Å; angles 90.00, 90.00, 90.00 degrees
Space group P4/mmm (No. 123)
Asymmetric unit:
Dy 0.000 0.000 0.000
Dy 0.000 0.000 0.250
Ho 0.000 0.500 0.125
Ho 0.000 0.500 0.375
Ho 0.500 0.500 0.000
Ho 0.500 0.500 0.250
Ho 0.500 0.500 0.500
Er 0.000 0.000 0.500

Properties
As for the energy: -4.56 eV per atom. Its density of states at the Fermi level is 20.5 states/eV/cell. The value obtained for the energy of formation is 1.9 kJ per mole of atoms. Its magnetic moment is 0.00 μB/atom. The density is 8.88 g/cm³.